--- i ---
First-principles (PBE-GGA) data for an optimized crystal structure of DyPd5Au4, as listed in the Alexandria database.

* Fermi-level density of states: 4.7 states/eV/cell
* calculated volume: 189.47 Å³ per cell
* theoretical density: 12.99 Mg/m³
* SG: P-1
* crystal system: triclinic

```
DyPd5Au4
1.0
4.4741 1.1345 -1.3601
0.7154 8.7631 -5.2054
-1.3354 -3.7998 7.3524
Dy Pd Au
1 5 4
Direct
0.5000 0.0000 0.0000
0.8012 0.3928 0.7024
0.8219 0.8376 0.6428
0.1781 0.1624 0.3572
0.5000 0.5000 0.0000
0.1988 0.6072 0.2976
0.2937 0.0982 0.6901
0.8882 0.3372 0.1831
0.7063 0.9018 0.3099
0.1118 0.6628 0.8168
```

---

--- ii ---
First-principles (PBE-GGA) data for an optimized crystal structure of DyPd5Au4, as listed in the Alexandria database.

* Fermi-level density of states: 9.9 states/eV/cell
* calculated volume: 373.63 Å³ per cell
* theoretical density: 13.18 Mg/m³
* SG: Pmmn
* crystal system: orthorhombic

```
DyPd5Au4
1.0
-2.5066 -1.5637 -3.7379
5.5030 -7.8724 -0.3970
-5.1303 -3.8406 5.0470
Dy Pd Au
2 10 8
Direct
0.4504 0.0000 0.0000
0.5496 0.5000 0.5000
0.2567 0.7551 0.6674
0.2567 0.2449 0.6674
0.6658 0.5000 0.0000
0.2567 0.7551 0.3326
0.2567 0.2449 0.3326
0.7433 0.7449 0.1674
0.7433 0.2551 0.1674
0.3342 0.0000 0.5000
0.7433 0.2551 0.8326
0.7433 0.7449 0.8326
0.9487 0.0000 0.7590
0.2401 0.6981 0.0000
0.2401 0.3019 0.0000
0.9487 0.0000 0.2410
0.0513 0.5000 0.2590
0.7599 0.8019 0.5000
0.7599 0.1981 0.5000
0.0513 0.5000 0.7410
```

---

Which one sits at the top of the stability order? ii does.

---

--- i ---
First-principles (PBE-GGA) data for an optimized crystal structure of DyPd2Au8, as listed in the Alexandria database.

* Fermi-level density of states: 4.1 states/eV/cell
* calculated volume: 200.32 Å³ per cell
* theoretical density: 16.17 Mg/m³
* SG: C2/m
* crystal system: monoclinic

```
DyPd2Au8
1.0
-1.4093 -0.0139 3.9078
1.0195 -6.5024 0.3445
7.1975 3.0889 0.3986
Dy Pd Au
1 2 8
Direct
0.5000 0.0000 0.0000
0.2258 0.6329 0.4516
0.7742 0.3671 0.5484
0.5964 0.4563 0.1927
0.3156 0.0873 0.6311
0.1403 0.1921 0.2807
0.0497 0.7221 0.0994
0.8597 0.8079 0.7193
0.6844 0.9127 0.3689
0.4036 0.5437 0.8073
0.9503 0.2779 0.9006
```

---

--- ii ---
First-principles (PBE-GGA) data for an optimized crystal structure of DyPd2Au8, as listed in the Alexandria database.

* Fermi-level density of states: 4.2 states/eV/cell
* calculated volume: 211.33 Å³ per cell
* theoretical density: 15.33 Mg/m³
* SG: Cmmm
* crystal system: orthorhombic

```
DyPd2Au8
1.0
4.2565 0.1881 0.2823
-0.3418 7.1714 0.3608
-0.3418 -2.4291 6.7571
Dy Pd Au
1 2 8
Direct
0.5000 0.0000 0.0000
0.0000 0.3835 0.6165
0.0000 0.6165 0.3835
0.9998 0.9613 0.6908
0.9998 0.6908 0.9613
0.4999 0.6655 0.6655
0.5000 0.7529 0.2471
0.5000 0.2471 0.7529
0.5001 0.3345 0.3345
0.0002 0.3092 0.0387
0.0002 0.0387 0.3092
```

---

Which one sits at the top of the stability order? i does.

---

--- i ---
First-principles (PBE-GGA) data for an optimized crystal structure of DyPd3Au3, as listed in the Alexandria database.

* Fermi-level density of states: 5.4 states/eV/cell
* calculated volume: 251.64 Å³ per cell
* theoretical density: 14.16 Mg/m³
* SG: P6_3/m
* crystal system: hexagonal

```
DyPd3Au3
1.0
-3.3778 3.3793 0.6425
-5.5364 -5.2941 -1.2617
2.6133 1.2425 7.2041
Dy Pd Au
2 6 6
Direct
0.2500 0.6667 0.3333
0.7500 0.3333 0.6667
0.2500 0.8055 0.7648
0.2500 0.2352 0.0408
0.2500 0.9592 0.1945
0.7500 0.1945 0.2352
0.7500 0.7648 0.9592
0.7500 0.0408 0.8055
0.7500 0.6319 0.5420
0.7500 0.4580 0.0899
0.7500 0.9101 0.3681
0.2500 0.3681 0.4580
0.2500 0.5420 0.9101
0.2500 0.0899 0.6319
```

---

--- ii ---
First-principles (PBE-GGA) data for an optimized crystal structure of DyPd3Au3, as listed in the Alexandria database.

* Fermi-level density of states: 3.9 states/eV/cell
* calculated volume: 265.46 Å³ per cell
* theoretical density: 13.42 Mg/m³
* SG: P2/m
* crystal system: monoclinic

```
DyPd3Au3
1.0
-1.1661 6.5031 -0.0473
-6.2622 -1.3603 -1.4085
-1.3045 -0.1904 5.9837
Dy Pd Au
2 6 6
Direct
0.2689 0.2692 0.0000
0.7311 0.7308 0.0000
0.0000 0.0000 0.7334
0.5000 0.0000 0.2552
0.0000 0.5000 0.2561
0.5000 0.0000 0.7448
0.0000 0.5000 0.7439
0.0000 0.0000 0.2666
0.2826 0.2822 0.5000
0.2746 0.7258 0.5000
0.7254 0.2742 0.5000
0.2496 0.7503 0.0000
0.7504 0.2497 0.0000
0.7174 0.7178 0.5000
```

---

Which one sits at the top of the stability order? i does.